1.
A plane-wave DFT calculation with PBE was carried out for crystalline TbMgPdPb at its relaxed geometry.

a b c (Å): 5.035 5.035 5.035
angles (deg): 60.00 60.00 60.00
Fractional coordinates of all 4 atoms:
Pb (0.500, 0.500, 0.500)
Mg (0.750, 0.750, 0.750)
Tb (0.250, 0.250, 0.250)
Pd (0.000, 0.000, 0.000)

DOS(E_F) in states/eV per cell: 2.2
Energy relative to the elements in eV per atom: -0.501
Uncorrected energy in eV per atom: -4.28

=====

2.
A plane-wave DFT calculation with PBE was carried out for crystalline ReCl at its relaxed geometry.

a b c (Å): 3.931 3.931 5.644
angles (deg): 90.00 90.00 90.00
Fractional coordinates of all 4 atoms:
Cl (0.250, 0.250, 0.246)
Cl (0.750, 0.750, 0.754)
Re (0.250, 0.750, 0.000)
Re (0.750, 0.250, 0.000)

DOS(E_F) in states/eV per cell: 2.4
Excess energy over the best structure of this formula in the dataset in meV per atom: 1314
Uncorrected energy in eV per atom: -5.94
Formation energy from raw total energies in meV per atom: 1203

=====

3.
A plane-wave DFT calculation with PBE was carried out for crystalline SrLiCd2Au4 at its relaxed geometry.

a b c (Å): 4.778 4.778 9.182
angles (deg): 74.92 74.92 60.00
Fractional coordinates of all 8 atoms:
Sr (0.000, 0.000, 0.000)
Li (0.500, 0.500, 0.500)
Cd (0.760, 0.760, 0.719)
Cd (0.240, 0.240, 0.281)
Au (0.400, 0.400, 0.799)
Au (0.872, 0.872, 0.384)
Au (0.128, 0.128, 0.616)
Au (0.600, 0.600, 0.201)

DOS(E_F) in states/eV per cell: 3.5
Energy relative to the elements in eV per atom: -0.446
Uncorrected energy in eV per atom: -2.76

=====

4.
A plane-wave DFT calculation with PBE was carried out for crystalline Ba2TlZn3Ga4 at its relaxed geometry.

a b c (Å): 4.618 4.618 11.211
angles (deg): 90.00 90.00 90.00
Fractional coordinates of all 10 atoms:
Ba (0.500, 0.000, 0.242)
Ba (0.000, 0.500, 0.758)
Tl (0.500, 0.500, 0.500)
Zn (0.000, 0.000, 0.500)
Zn (0.500, 0.000, 0.878)
Zn (0.000, 0.500, 0.122)
Ga (0.500, 0.500, 0.000)
Ga (0.000, 0.000, 0.000)
Ga (0.500, 0.000, 0.646)
Ga (0.000, 0.500, 0.354)

DOS(E_F) in states/eV per cell: 4.4
Energy relative to the elements in eV per atom: -0.311
Uncorrected energy in eV per atom: -2.53

=====

5.
A plane-wave DFT calculation with PBE was carried out for crystalline KCu2Tc at its relaxed geometry.

a b c (Å): 4.555 4.555 6.944
angles (deg): 85.83 85.83 33.25
Site moments in Bohr magnetons follow the coordinates.
Fractional coordinates of all 4 atoms:
Cu (0.989, 0.989, 0.095)  0.07
Cu (0.511, 0.511, 0.405)  0.07
K (0.750, 0.750, 0.750)  0.00
Tc (0.250, 0.250, 0.250)  0.70

DOS(E_F) in states/eV per cell: 2.8
Energy relative to the elements in eV per atom: 0.672
Excess energy over the best structure of this formula in the dataset in meV per atom: 106
Uncorrected energy in eV per atom: -4.24

=====

6.
A plane-wave DFT calculation with PBE was carried out for crystalline ZnGa3Sb4 at its relaxed geometry.

a b c (Å): 6.165 6.165 7.595
angles (deg): 113.95 113.95 90.00
Fractional coordinates of all 8 atoms:
Sb (0.371, 0.371, 0.247)
Sb (0.876, 0.876, 0.247)
Sb (0.124, 0.629, 0.753)
Sb (0.629, 0.124, 0.753)
Zn (0.000, 0.000, 0.000)
Ga (0.500, 0.500, 0.000)
Ga (0.750, 0.250, 0.500)
Ga (0.250, 0.750, 0.500)

DOS(E_F) in states/eV per cell: 3.2
Uncorrected energy in eV per atom: -3.46
Formation energy from raw total energies in meV per atom: -107

=====

7.
A plane-wave DFT calculation with PBE was carried out for crystalline Li2MnH6 at its relaxed geometry.

a b c (Å): 2.855 4.580 5.131
angles (deg): 116.51 106.14 90.00
Site moments in Bohr magnetons follow the coordinates.
Fractional coordinates of all 9 atoms:
Li (0.330, 0.329, 0.659)  0.01
Li (0.670, 0.671, 0.341)  0.01
Mn (0.000, 0.000, 0.000)  -1.15
H (0.859, 0.088, 0.718)  0.01
H (0.141, 0.371, 0.282)  0.01
H (0.141, 0.912, 0.282)  0.01
H (0.500, 0.197, 0.000)  0.02
H (0.859, 0.629, 0.718)  0.01
H (0.500, 0.803, 0.000)  0.02

DOS(E_F) in states/eV per cell: 1.4
Excess energy over the best structure of this formula in the dataset in meV per atom: 0
Uncorrected energy in eV per atom: -3.82

=====

8.
A plane-wave DFT calculation with PBE was carried out for crystalline TmTh3 at its relaxed geometry.

a b c (Å): 5.658 5.658 5.658
angles (deg): 60.00 60.00 60.00
Fractional coordinates of all 4 atoms:
Tm (0.500, 0.500, 0.500)
Th (0.000, 0.000, 0.000)
Th (0.750, 0.750, 0.750)
Th (0.250, 0.250, 0.250)

DOS(E_F) in states/eV per cell: 6.1
Energy relative to the elements in eV per atom: 0.172
Excess energy over the best structure of this formula in the dataset in meV per atom: 134
Uncorrected energy in eV per atom: -6.51